Computed, not measured: a relaxed structure of TiReMo3W at the PBE-GGA level of DFT.

Cell lengths 7.0345, 3.1491, 8.9801 Å; angles 90.00, 108.55, 90.00 degrees
Space group P2_1/m (No. 11)
One atom of each set of equivalent atoms:
Ti1 0.0007 0.2500 0.1274
Re1 0.3309 0.7500 0.2084
Mo1 0.3336 0.2500 0.4576
Mo2 0.3353 0.2500 0.9583
Mo3 0.3372 0.7500 0.7106
W1 0.0005 0.7500 0.3779

Results
* formation enthalpy at 0 K: -116 meV/atom
* uncorrected energy: -132.98 eV per cell
* density of states at the Fermi level: 0.476 states/eV/atom
* total magnetic moment: 0.00 μB/f.u.